! V2RuPbF, optimized geometry, DFT PBE+U; values from VASP
&SYSTEM
  ibrav = 0, nat = 5, ntyp = 4
/
ATOMIC_SPECIES
V 50.94 V.upf
Pb 207.20 Pb.upf
F 19.00 F.upf
Ru 101.07 Ru.upf
CELL_PARAMETERS angstrom
-3.199 -2.529 -0.722
-0.748 -0.517 5.123
-2.562 3.253 -0.046
ATOMIC_POSITIONS angstrom
V -1.281 1.627 -0.023
V -1.599 -1.265 -0.361
Pb -0.374 -0.258 2.561
F 0.000 0.000 0.000
Ru -3.254 0.104 2.177
! DFT total energy: -28.5 eV per cell
! density of states at the Fermi level: 0.5967 states/eV per atom
! symmetry: P4/mmm, No. 123
! magnetic moment: 6.45 μB per formula unit